# Au2C

An optimized crystal structure of Au2C (PBE, the Alexandria database).

ΔE_f in eV per atom: 1.318
SG: No. 12
Density of states at the Fermi level in states/eV/atom: 0.434
ρ in Mg/m³: 14.10

abc: 5.536 5.536 7.919
angles: 129.77 129.77 31.84
Atoms (fractional coordinates):
Au 0.094 0.094 0.329
Au 0.242 0.242 0.795
Au 0.758 0.758 0.205
Au 0.906 0.906 0.671
C 0.401 0.401 0.161
C 0.599 0.599 0.839